Material: TbPm3Pr8
Method: DFT, PBE-GGA
State: relaxed

POSCAR file:
```
TbPm3Pr8
1.0
-3.363 5.724 5.901
3.363 -5.724 5.901
3.363 5.724 -5.901
Tb Pm Pr
1 3 8
Direct
0.000 0.000 0.000 Tb
0.243 0.743 0.500 Pm
0.500 0.500 0.000 Pm
0.757 0.257 0.500 Pm
0.086 0.249 0.837 Pr
0.242 0.258 0.500 Pr
0.242 0.742 0.983 Pr
0.413 0.249 0.163 Pr
0.587 0.751 0.837 Pr
0.758 0.258 0.017 Pr
0.758 0.742 0.500 Pr
0.914 0.751 0.163 Pr
```

Output
Raw total energy = -4.46 eV per atom
N(E_F) = 16.56 states/eV per cell
Formation energy = 0.30 eV/atom